{"formula": "Sr2Cd2Ga", "functional": "PBE-GGA", "state": "relaxed", "sg": "No. 127", "ef_ev_per_fu": -0.35, "lattice": [[-8.902, 1.693, 0.138], [-1.490, -8.141, 3.692], [0.373, 1.651, 3.791]], "species": ["Sr", "Sr", "Sr", "Sr", "Ga", "Ga", "Cd", "Cd", "Cd", "Cd"], "fractional_positions": [[0.329, 0.829, 0.000], [0.829, 0.671, 0.000], [0.671, 0.171, 0.000], [0.171, 0.329, 0.000], [0.000, 0.000, 0.000], [0.500, 0.500, 0.000], [0.124, 0.624, 0.500], [0.624, 0.876, 0.500], [0.876, 0.376, 0.500], [0.376, 0.124, 0.500]]}

***

{"formula": "KScN2", "functional": "PBE-GGA", "state": "relaxed", "sg": "No. 166", "total_energy_ev_per_atom": -5.13, "lattice": [[-2.929, 6.358, -1.132], [-1.408, 6.336, 2.856], [1.237, 6.969, -0.433]], "species": ["Sc", "K", "N", "N"], "fractional_positions": [[0.000, 0.000, 0.000], [0.500, 0.500, 0.500], [0.911, 0.911, 0.911], [0.089, 0.089, 0.089]]}

***

{"formula": "Tl3ClO", "functional": "PBE-GGA", "state": "relaxed", "sg": "No. 12", "total_energy_ev_per_atom": -3.47, "lattice": [[3.564, 0.000, 0.733], [1.717, 7.226, 0.685], [-0.467, -0.976, 11.303]], "species": ["Tl", "Tl", "Tl", "Tl", "Tl", "Tl", "Cl", "Cl", "O", "O"], "fractional_positions": [[0.702, 0.189, 0.407], [0.298, 0.811, 0.593], [0.256, 0.363, 0.124], [0.744, 0.637, 0.876], [0.972, 0.899, 0.156], [0.028, 0.101, 0.844], [0.567, 0.574, 0.293], [0.433, 0.426, 0.707], [0.324, 0.102, 0.249], [0.676, 0.898, 0.751]]}

***

{"formula": "Tc2IrOs", "functional": "PBE-GGA", "state": "relaxed", "sg": "No. 10", "ef_ev_per_fu": -0.10, "lattice": [[-0.508, -1.283, -2.352], [-3.686, -2.190, 1.991], [-5.124, 1.921, 0.058]], "species": ["Ir", "Os", "Tc", "Tc"], "fractional_positions": [[0.500, 0.500, 0.500], [0.000, 0.000, 0.500], [0.000, 0.000, 0.000], [0.500, 0.500, 0.000]]}

***

{"formula": "AlZnReTc", "functional": "PBE-GGA", "state": "relaxed", "sg": "No. 216", "ef_ev_per_fu": -0.20, "lattice": [[4.331, 0.000, 0.000], [2.166, 3.751, 0.000], [2.166, 1.250, 3.536]], "species": ["Re", "Zn", "Tc", "Al"], "fractional_positions": [[0.500, 0.500, 0.500], [0.000, 0.000, 0.000], [0.250, 0.250, 0.250], [0.750, 0.750, 0.750]]}

***

{"formula": "NaHoMgTl", "functional": "PBE-GGA", "state": "relaxed", "sg": "No. 216", "ef_ev_per_fu": -0.27, "lattice": [[-0.471, 2.946, 4.378], [-4.195, 3.175, 0.618], [-3.705, -1.177, 3.599]], "species": ["Mg", "Na", "Tl", "Ho"], "fractional_positions": [[0.750, 0.750, 0.750], [0.000, 0.000, 0.000], [0.250, 0.250, 0.250], [0.500, 0.500, 0.500]]}